# 1
Ho2GeO5 | PBE-GGA | relaxed

Calculated values
Relative energy among the computed polymorphs ... 0 meV per atom
SG ... C2/c, No. 15
M_tot ... 0.000 μB/atom

Cell lengths 8.1470, 8.1470, 10.3466 Å; angles 118.62, 118.62, 49.18 degrees
Element x y z (fractional)
Ho 0.0057 0.2683 0.8363
Ho 0.2084 0.7223 0.5371
Ho 0.2683 0.0057 0.3363
Ho 0.2777 0.7916 0.9629
Ho 0.7223 0.2084 0.0371
Ho 0.7317 0.9943 0.6637
Ho 0.7916 0.2777 0.4629
Ho 0.9943 0.7317 0.1637
Ge 0.2206 0.4087 0.6901
Ge 0.4087 0.2206 0.1901
Ge 0.5913 0.7794 0.8099
Ge 0.7794 0.5913 0.3099
O 0.0412 0.3490 0.6742
O 0.0807 0.8844 0.1013
O 0.0837 0.6852 0.6786
O 0.1156 0.9193 0.3987
O 0.2242 0.3695 0.0484
O 0.3148 0.9163 0.8214
O 0.3490 0.0412 0.1742
O 0.3695 0.2242 0.5484
O 0.4168 0.4176 0.3651
O 0.4176 0.4168 0.8651
O 0.5824 0.5832 0.1349
O 0.5832 0.5824 0.6349
O 0.6305 0.7758 0.4516
O 0.6510 0.9588 0.8258
O 0.6852 0.0837 0.1786
O 0.7758 0.6305 0.9516
O 0.8844 0.0807 0.6013
O 0.9163 0.3148 0.3214
O 0.9193 0.1156 0.8987
O 0.9588 0.6510 0.3258

# 2
Ho4GeO3 | PBE-GGA | relaxed

Calculated values
E ... -6.855 eV/atom
SG ... I4/mmm, No. 139
M_tot ... 0.001 μB/atom

Cell lengths 5.1556, 5.1556, 9.9862 Å; angles 90.00, 90.00, 90.00 degrees
Element x y z (fractional)
Ho 0.0000 0.0000 0.2320
Ho 0.0000 0.0000 0.7680
Ho 0.0000 0.5000 0.0000
Ho 0.0000 0.5000 0.5000
Ho 0.5000 0.0000 0.0000
Ho 0.5000 0.0000 0.5000
Ho 0.5000 0.5000 0.2680
Ho 0.5000 0.5000 0.7320
Ge 0.0000 0.0000 0.5000
Ge 0.5000 0.5000 0.0000
O 0.0000 0.0000 0.0000
O 0.0000 0.5000 0.2500
O 0.0000 0.5000 0.7500
O 0.5000 0.0000 0.2500
O 0.5000 0.0000 0.7500
O 0.5000 0.5000 0.5000

# 3
Ho2GeO5 | PBE-GGA | relaxed

Calculated values
Relative energy among the computed polymorphs ... 13 meV per atom
SG ... P2_1/c, No. 14
M_tot ... 0.000 μB/atom

Cell lengths 9.1911, 6.9677, 6.6904 Å; angles 90.00, 104.16, 90.00 degrees
Element x y z (fractional)
Ho 0.0267 0.1272 0.2291
Ho 0.0267 0.3728 0.7291
Ho 0.3619 0.1370 0.0315
Ho 0.3619 0.3630 0.5315
Ho 0.6381 0.6370 0.4685
Ho 0.6381 0.8630 0.9685
Ho 0.9733 0.6272 0.2709
Ho 0.9733 0.8728 0.7709
Ge 0.3030 0.5939 0.0204
Ge 0.3030 0.9061 0.5204
Ge 0.6970 0.0939 0.4796
Ge 0.6970 0.4061 0.9796
O 0.1072 0.6376 0.9938
O 0.1072 0.8624 0.4938
O 0.1093 0.1162 0.9269
O 0.1093 0.3838 0.4269
O 0.2821 0.0825 0.3171
O 0.2821 0.4175 0.8171
O 0.3895 0.6946 0.4813
O 0.3895 0.8054 0.9813
O 0.3948 0.0681 0.7113
O 0.3948 0.4319 0.2113
O 0.6052 0.5681 0.7887
O 0.6052 0.9319 0.2887
O 0.6105 0.1946 0.0187
O 0.6105 0.3054 0.5187
O 0.7179 0.5825 0.1829
O 0.7179 0.9175 0.6829
O 0.8907 0.6162 0.5731
O 0.8907 0.8838 0.0731
O 0.8928 0.1376 0.5062
O 0.8928 0.3624 0.0062

# 4
HoGePO | PBE-GGA | relaxed

Calculated values
Relative energy among the computed polymorphs ... 59 meV per atom
SG ... Pmc2_1, No. 26
M_tot ... 0.001 μB/atom

Cell lengths 3.7063, 6.1564, 6.8133 Å; angles 90.00, 90.00, 90.00 degrees
Element x y z (fractional)
Ho 0.0000 0.2333 0.0000
Ho 0.0000 0.7667 0.5000
Ge 0.5000 0.3788 0.5909
Ge 0.5000 0.6212 0.0909
P 0.0000 0.2199 0.4195
P 0.0000 0.7801 0.9195
O 0.5000 0.2277 0.8345
O 0.5000 0.7723 0.3345

# 5
HoGePO | PBE-GGA | relaxed

Calculated values
Relative energy among the computed polymorphs ... 118 meV per atom
SG ... Pmc2_1, No. 26
M_tot ... 0.000 μB/atom

Cell lengths 4.0982, 5.6343, 6.0618 Å; angles 90.00, 90.00, 90.00 degrees
Element x y z (fractional)
Ho 0.0000 0.2339 0.0000
Ho 0.0000 0.7661 0.5000
Ge 0.5000 0.3539 0.4089
Ge 0.5000 0.6461 0.9089
P 0.5000 0.0613 0.7133
P 0.5000 0.9387 0.2133
O 0.0000 0.4164 0.3234
O 0.0000 0.5836 0.8234

# 6
HoGePO | PBE-GGA | relaxed

Calculated values
Relative energy among the computed polymorphs ... 0 meV per atom
SG ... P4/nmm, No. 129
M_tot ... 0.000 μB/atom

Cell lengths 4.0006, 4.0006, 8.9148 Å; angles 90.00, 90.00, 90.00 degrees
Element x y z (fractional)
Ho 0.2500 0.2500 0.1160
Ho 0.7500 0.7500 0.8840
Ge 0.2500 0.7500 0.5000
Ge 0.7500 0.2500 0.5000
P 0.2500 0.2500 0.6947
P 0.7500 0.7500 0.3053
O 0.2500 0.7500 0.0000
O 0.7500 0.2500 0.0000

# 7
HoGePO | PBE-GGA | relaxed

Calculated values
Relative energy among the computed polymorphs ... 330 meV per atom
SG ... P4/nmm, No. 129
M_tot ... 0.000 μB/atom

Cell lengths 5.5187, 5.5187, 4.7618 Å; angles 90.00, 90.00, 90.00 degrees
Element x y z (fractional)
Ho 0.2500 0.7500 0.0000
Ho 0.7500 0.2500 0.0000
Ge 0.2500 0.2500 0.4931
Ge 0.7500 0.7500 0.5069
P 0.2500 0.2500 0.9920
P 0.7500 0.7500 0.0080
O 0.2500 0.7500 0.5000
O 0.7500 0.2500 0.5000

# 8
HoGeOs | PBE-GGA | relaxed

Calculated values
E ... -6.882 eV/atom
SG ... F-43m, No. 216
M_tot ... 0.001 μB/atom

Cell lengths 6.3264, 6.3264, 6.3264 Å; angles 90.00, 90.00, 90.00 degrees
Element x y z (fractional)
Ho 0.0000 0.0000 0.0000
Ho 0.0000 0.5000 0.5000
Ho 0.5000 0.0000 0.5000
Ho 0.5000 0.5000 0.0000
Ge 0.0000 0.0000 0.5000
Ge 0.0000 0.5000 0.0000
Ge 0.5000 0.0000 0.0000
Ge 0.5000 0.5000 0.5000
Os 0.2500 0.2500 0.7500
Os 0.2500 0.7500 0.2500
Os 0.7500 0.2500 0.2500
Os 0.7500 0.7500 0.7500